(1)
ZrBiB4, optimized geometry, DFT PBE; crystal system = hexagonal; space group = No. 191; electronic total energy = -6.55 eV per atom
1.0
3.198 0.000 0.000
-1.599 2.769 0.000
0.000 0.000 8.171
B Bi Zr
4 1 1
Direct
0.667 0.333 0.288
0.333 0.667 0.288
0.667 0.333 0.712
0.333 0.667 0.712
0.000 0.000 0.000
0.000 0.000 0.500

(2)
Zr4BiB3, optimized geometry, DFT PBE; crystal system = hexagonal; space group = No. 194; electronic total energy = -7.77 eV per atom
1.0
-1.217 2.283 2.347
-2.223 -1.990 -1.817
1.304 -18.518 18.688
B Bi Zr
6 2 8
Direct
0.000 0.000 0.000
0.667 0.333 0.110
0.667 0.333 0.390
0.000 0.000 0.500
0.333 0.667 0.610
0.333 0.667 0.890
0.333 0.667 0.250
0.667 0.333 0.750
0.333 0.667 0.055
0.000 0.000 0.156
0.000 0.000 0.344
0.333 0.667 0.445
0.667 0.333 0.555
0.000 0.000 0.656
0.000 0.000 0.844
0.667 0.333 0.945

(3)
Gd4BC2Br3, optimized geometry, DFT PBE; crystal system = monoclinic; space group = No. 11; electronic total energy = -5.96 eV per atom
1.0
-0.858 -7.919 -5.524
0.540 -2.128 2.967
-11.492 2.772 4.078
B Br C Gd
2 6 4 8
Direct
0.467 0.250 0.021
0.533 0.750 0.979
0.034 0.750 0.132
0.785 0.250 0.271
0.139 0.250 0.444
0.861 0.750 0.556
0.215 0.750 0.729
0.966 0.250 0.868
0.372 0.250 0.105
0.450 0.750 0.365
0.550 0.250 0.635
0.628 0.750 0.895
0.755 0.250 0.019
0.544 0.750 0.195
0.284 0.250 0.266
0.625 0.250 0.460
0.375 0.750 0.540
0.716 0.750 0.734
0.456 0.250 0.805
0.245 0.750 0.981

(4)
Dy2Ho2BBr2Cl3, optimized geometry, DFT PBE; crystal system = monoclinic; space group = No. 12; electronic total energy = -4.95 eV per atom
1.0
-3.190 6.358 5.625
-3.538 3.171 7.724
7.689 0.148 1.501
B Br Cl Dy Ho
1 2 3 2 2
Direct
0.500 0.500 0.000
0.828 0.828 0.178
0.172 0.172 0.822
0.159 0.159 0.332
0.500 0.500 0.500
0.841 0.841 0.668
0.643 0.643 0.080
0.357 0.357 0.920
0.000 0.000 0.216
0.000 0.000 0.784

(5)
Dy2Sc2BBr3Cl2, optimized geometry, DFT PBE; crystal system = monoclinic; space group = No. 12; electronic total energy = -5.21 eV per atom
1.0
8.410 -1.887 0.000
8.410 1.887 0.000
-1.862 0.000 7.998
B Br Cl Dy Sc
1 3 2 2 2
Direct
0.500 0.500 0.000
0.174 0.174 0.319
0.500 0.500 0.500
0.826 0.826 0.681
0.827 0.827 0.134
0.173 0.173 0.866
0.998 0.998 0.207
0.002 0.002 0.793
0.642 0.642 0.070
0.358 0.358 0.930

(6)
Dy2Y2BBr3Cl2, optimized geometry, DFT PBE; crystal system = monoclinic; space group = No. 12; electronic total energy = -5.27 eV per atom
1.0
-1.235 8.993 -0.384
-2.284 7.856 -3.951
-7.112 -2.610 2.923
B Br Cl Dy Y
1 3 2 2 2
Direct
0.500 0.500 0.000
0.827 0.827 0.171
0.500 0.500 0.500
0.173 0.173 0.829
0.160 0.160 0.320
0.840 0.840 0.680
0.000 0.000 0.209
0.000 0.000 0.791
0.644 0.644 0.078
0.356 0.356 0.922

(7)
Ho4BBr3Cl2, optimized geometry, DFT PBE; crystal system = monoclinic; space group = No. 12; electronic total energy = -4.87 eV per atom
1.0
-1.858 4.486 -7.411
-5.297 3.024 -6.427
-0.774 5.700 5.757
B Br Cl Ho
1 3 2 4
Direct
0.500 0.500 0.000
0.170 0.170 0.339
0.500 0.500 0.500
0.830 0.830 0.661
0.828 0.828 0.150
0.172 0.172 0.850
0.646 0.646 0.075
0.998 0.998 0.206
0.002 0.002 0.794
0.354 0.354 0.925

(8)
Nd2Ho2BBr3Cl2, optimized geometry, DFT PBE; crystal system = monoclinic; space group = No. 12; electronic total energy = -4.91 eV per atom
1.0
-4.048 -3.292 -7.320
-2.741 -6.552 -5.510
-6.481 0.489 5.561
B Br Cl Ho Nd
1 3 2 2 2
Direct
0.500 0.500 0.000
0.173 0.173 0.320
0.500 0.500 0.500
0.827 0.827 0.680
0.824 0.824 0.133
0.176 0.176 0.867
0.645 0.645 0.073
0.355 0.355 0.927
0.997 0.997 0.211
0.003 0.003 0.789

(9)
Ho2Sc2BBrCl4, optimized geometry, DFT PBE; crystal system = monoclinic; space group = No. 12; electronic total energy = -5.35 eV per atom
1.0
8.245 -1.862 0.000
8.245 1.862 0.000
-1.860 0.000 7.916
B Br Cl Ho Sc
1 1 4 2 2
Direct
0.500 0.500 0.000
0.500 0.500 0.500
0.826 0.826 0.138
0.169 0.169 0.304
0.831 0.831 0.696
0.174 0.174 0.862
0.999 0.999 0.208
0.001 0.001 0.792
0.644 0.644 0.074
0.356 0.356 0.926

(10)
Ho2Sc2BBr4Cl, optimized geometry, DFT PBE; crystal system = monoclinic; space group = No. 12; electronic total energy = -5.13 eV per atom
1.0
8.960 -1.884 0.000
8.960 1.884 0.000
-1.651 0.000 7.667
B Br Cl Ho Sc
1 4 1 2 2
Direct
0.500 0.500 0.000
0.832 0.832 0.160
0.164 0.164 0.327
0.836 0.836 0.673
0.168 0.168 0.840
0.500 0.500 0.500
0.999 0.999 0.216
0.001 0.001 0.784
0.633 0.633 0.068
0.367 0.367 0.932

(11)
Sm2Ho2BBr3Cl2, optimized geometry, DFT PBE; crystal system = monoclinic; space group = No. 12; electronic total energy = -4.91 eV per atom
1.0
8.997 -1.953 0.000
8.997 1.953 0.000
-1.897 0.000 7.882
B Br Cl Ho Sm
1 3 2 2 2
Direct
0.500 0.500 0.000
0.831 0.831 0.177
0.500 0.500 0.500
0.169 0.169 0.823
0.157 0.157 0.335
0.843 0.843 0.665
0.000 0.000 0.208
0.000 0.000 0.792
0.646 0.646 0.084
0.354 0.354 0.916

(12)
Y2Ho2BBr2Cl3, optimized geometry, DFT PBE; crystal system = monoclinic; space group = No. 12; electronic total energy = -5.33 eV per atom
1.0
-0.782 8.731 2.275
-1.880 6.952 5.492
7.504 -1.548 1.707
B Br Cl Ho Y
1 2 3 2 2
Direct
0.500 0.500 0.000
0.828 0.828 0.179
0.172 0.172 0.821
0.160 0.160 0.334
0.500 0.500 0.500
0.840 0.840 0.666
0.000 0.000 0.216
0.000 0.000 0.784
0.644 0.644 0.081
0.356 0.356 0.919